No. 1
A geometry-optimized LiFeTc2 structure. Source: Alexandria, functional PBE.

Cell and atoms, written as POSCAR:
```
LiFeTc2
1.0
-3.3716 3.3716 2.4870
3.3716 -3.3716 2.4870
3.3716 3.3716 -2.4870
Li Fe Tc
2 2 4
Direct
0.0000 0.0000 0.0000
0.7500 0.2500 0.5000
0.2500 0.7500 0.5000
0.5000 0.5000 0.0000
0.1621 0.6250 0.0371
0.3750 0.4121 0.5371
0.5879 0.1250 0.9629
0.8750 0.8379 0.4629
```

- ΔE to the lowest computed polymorph: 450 meV/atom
- M_tot: 0.08 Bohr magnetons per cell
- Space-group type: I-42d (122)

=====

No. 2
A geometry-optimized LiFeTc2 structure. Source: Alexandria, functional PBE.

Cell and atoms, written as POSCAR:
```
LiFeTc2
1.0
2.5355 0.0000 0.0000
0.0000 2.5355 0.0000
0.0000 0.0000 8.5896
Li Fe Tc
1 1 2
Direct
0.0000 0.0000 0.0000
0.0000 0.0000 0.5000
0.5000 0.5000 0.2639
0.5000 0.5000 0.7361
```

- ΔE to the lowest computed polymorph: 56 meV/atom
- M_tot: 2.41 Bohr magnetons per cell
- Space-group type: P4/mmm (123)

=====

No. 3
A geometry-optimized LiFeTc3 structure. Source: Alexandria, functional PBE.

Cell and atoms, written as POSCAR:
```
LiFeTc3
1.0
4.0472 0.0000 0.0000
0.0000 4.0472 0.0000
0.0000 0.0000 4.0472
Li Fe Tc
1 1 3
Direct
0.0000 0.0000 0.0000
0.5000 0.5000 0.5000
0.0000 0.0000 0.5000
0.0000 0.5000 0.0000
0.5000 0.0000 0.0000
```

- M_tot: 0.00 Bohr magnetons per cell
- Space-group type: Pm-3m (221)

=====

No. 4
A geometry-optimized LiFe2Tc structure. Source: Alexandria, functional PBE.

Cell and atoms, written as POSCAR:
```
LiFe2Tc
1.0
1.4720 -2.0902 0.0000
1.4720 2.0902 0.0000
0.0000 0.0000 8.6696
Li Fe Tc
1 2 1
Direct
0.0000 0.0000 0.0000
0.5000 0.5000 0.2567
0.5000 0.5000 0.7433
0.0000 0.0000 0.5000
```

- M_tot: 4.95 Bohr magnetons per cell
- Space-group type: Cmmm (65)

=====

No. 5
A geometry-optimized LiFeTc structure. Source: Alexandria, functional PBE.

Cell and atoms, written as POSCAR:
```
LiFeTc
1.0
4.1061 0.0000 0.0000
-2.0531 3.5560 0.0000
0.0000 0.0000 2.5063
Li Fe Tc
1 1 1
Direct
0.0000 0.0000 0.0000
0.6667 0.3333 0.6737
0.3333 0.6667 0.3886
```

- ΔE to the lowest computed polymorph: 0 meV/atom
- M_tot: 0.93 Bohr magnetons per cell
- Space-group type: P3m1 (156)

=====

No. 6
A geometry-optimized LiFe2Tc structure. Source: Alexandria, functional PBE.

Cell and atoms, written as POSCAR:
```
LiFe2Tc
1.0
2.6136 0.0000 0.0000
0.0000 2.6136 0.0000
0.0000 0.0000 7.6222
Li Fe Tc
1 2 1
Direct
0.0000 0.0000 0.0000
0.5000 0.5000 0.2609
0.5000 0.5000 0.7391
0.0000 0.0000 0.5000
```

- M_tot: 3.52 Bohr magnetons per cell
- Space-group type: P4/mmm (123)

=====

No. 7
A geometry-optimized LiFe2Tc structure. Source: Alexandria, functional PBE.

Cell and atoms, written as POSCAR:
```
LiFe2Tc
1.0
2.4863 0.0000 0.0000
0.0000 4.1634 0.0000
-0.7087 0.0000 4.8262
Li Fe Tc
1 2 1
Direct
0.0000 0.0000 0.0000
0.2468 0.5000 0.7768
0.4705 0.0000 0.5118
0.7526 0.5000 0.2812
```

- M_tot: 4.35 Bohr magnetons per cell
- Space-group type: Pm (6)

=====

No. 8
A geometry-optimized LiFe2Tc structure. Source: Alexandria, functional PBE.

Cell and atoms, written as POSCAR:
```
LiFe2Tc
1.0
-1.3711 2.1236 4.2558
1.3711 -2.1236 4.2558
1.3711 2.1236 -4.2558
Li Fe Tc
1 2 1
Direct
0.0000 0.0000 0.0000
0.5148 0.5148 0.0000
0.7410 0.2410 0.5000
0.2736 0.7736 0.5000
```

- M_tot: 3.48 Bohr magnetons per cell
- Space-group type: Imm2 (44)

=====

No. 9
A geometry-optimized LiFe2Tc structure. Source: Alexandria, functional PBE.

Cell and atoms, written as POSCAR:
```
LiFe2Tc
1.0
-1.8212 1.8212 3.5719
1.8212 -1.8212 3.5719
1.8212 1.8212 -3.5719
Li Fe Tc
1 2 1
Direct
0.0000 0.0000 0.0000
0.2500 0.7500 0.5000
0.7500 0.2500 0.5000
0.5000 0.5000 0.0000
```

- M_tot: 2.98 Bohr magnetons per cell
- Space-group type: I4/mmm (139)

=====

No. 10
A geometry-optimized LiFeTc4 structure. Source: Alexandria, functional PBE.

Cell and atoms, written as POSCAR:
```
LiFeTc4
1.0
0.0000 3.5994 3.5994
3.5994 0.0000 3.5994
3.5994 3.5994 0.0000
Li Fe Tc
1 1 4
Direct
0.0000 0.0000 0.0000
0.2500 0.2500 0.2500
0.1246 0.6251 0.6251
0.6251 0.1246 0.6251
0.6251 0.6251 0.1246
0.6251 0.6251 0.6251
```

- M_tot: 3.10 Bohr magnetons per cell
- Space-group type: F-43m (216)

=====

No. 11
A geometry-optimized LiFe2Tc2 structure. Source: Alexandria, functional PBE.

Cell and atoms, written as POSCAR:
```
LiFe2Tc2
1.0
7.1238 0.0000 0.0000
0.0000 7.1238 0.0000
0.0000 0.0000 2.6280
Li Fe Tc
2 4 4
Direct
0.0000 0.0000 0.0000
0.5000 0.5000 0.0000
0.1235 0.3765 0.0000
0.3765 0.8765 0.0000
0.6235 0.1235 0.0000
0.8765 0.6235 0.0000
0.1672 0.6672 0.5000
0.3328 0.1672 0.5000
0.6672 0.8328 0.5000
0.8328 0.3328 0.5000
```

- ΔE to the lowest computed polymorph: 0 meV/atom
- M_tot: 0.00 Bohr magnetons per cell
- Space-group type: P4/mbm (127)

=====

No. 12
A geometry-optimized LiFeTc2 structure. Source: Alexandria, functional PBE.

Cell and atoms, written as POSCAR:
```
LiFeTc2
1.0
1.4789 -2.1570 0.0000
1.4789 2.1570 0.0000
0.0000 0.0000 8.8547
Li Fe Tc
1 1 2
Direct
0.0000 0.0000 0.0000
0.5000 0.5000 0.2535
0.0000 0.0000 0.4865
0.5000 0.5000 0.7372
```

- ΔE to the lowest computed polymorph: 42 meV/atom
- M_tot: 2.51 Bohr magnetons per cell
- Space-group type: Cmm2 (35)

=====

No. 13
A geometry-optimized LiFe3Tc structure. Source: Alexandria, functional PBE.

Cell and atoms, written as POSCAR:
```
LiFe3Tc
1.0
3.8079 0.0000 0.0000
0.0000 3.8079 0.0000
0.0000 0.0000 3.8079
Li Fe Tc
1 3 1
Direct
0.0000 0.0000 0.0000
0.0000 0.0000 0.5000
0.0000 0.5000 0.0000
0.5000 0.0000 0.0000
0.5000 0.5000 0.5000
```

- ΔE to the lowest computed polymorph: 0 meV/atom
- M_tot: 0.00 Bohr magnetons per cell
- Space-group type: Pm-3m (221)

=====

No. 14
A geometry-optimized LiFeTc2 structure. Source: Alexandria, functional PBE.

Cell and atoms, written as POSCAR:
```
LiFeTc2
1.0
2.5286 0.0000 0.0000
0.0000 4.2916 0.0000
-0.6804 0.0000 4.9122
Li Fe Tc
1 1 2
Direct
0.0000 0.0000 0.0000
0.1770 0.5000 0.7654
0.4983 0.0000 0.5008
0.6977 0.5000 0.2529
```

- ΔE to the lowest computed polymorph: 0 meV/atom
- M_tot: 2.21 Bohr magnetons per cell
- Space-group type: Pm (6)

=====

No. 15
A geometry-optimized LiFeTc2 structure. Source: Alexandria, functional PBE.

Cell and atoms, written as POSCAR:
```
LiFeTc2
1.0
2.5382 0.0000 0.0000
0.0000 4.2228 0.0000
-1.0799 0.0000 4.9585
Li Fe Tc
1 1 2
Direct
0.0000 0.0000 0.0000
0.5000 0.0000 0.5000
0.2699 0.5000 0.7536
0.7301 0.5000 0.2464
```

- ΔE to the lowest computed polymorph: 12 meV/atom
- M_tot: 2.11 Bohr magnetons per cell
- Space-group type: P2/m (10)

=====

No. 16
A geometry-optimized LiFeTc2 structure. Source: Alexandria, functional PBE.

Cell and atoms, written as POSCAR:
```
LiFeTc2
1.0
2.5682 -4.2666 0.0000
2.5682 4.2666 0.0000
-0.6326 0.0000 2.4442
Li Fe Tc
1 1 2
Direct
0.0000 0.0000 0.0000
0.5000 0.5000 0.0000
0.0000 0.5000 0.5000
0.5000 0.0000 0.5000
```

- ΔE to the lowest computed polymorph: 35 meV/atom
- M_tot: 2.55 Bohr magnetons per cell
- Space-group type: C2/m (12)

=====

No. 17
A geometry-optimized LiFe2Tc structure. Source: Alexandria, functional PBE.

Cell and atoms, written as POSCAR:
```
LiFe2Tc
1.0
2.4570 0.0000 0.0000
0.0000 4.0052 0.0000
0.0000 0.0000 5.1375
Li Fe Tc
1 2 1
Direct
0.0000 0.0000 0.0000
0.0000 0.0000 0.5125
0.5000 0.5000 0.7709
0.5000 0.5000 0.2745
```

- M_tot: 4.65 Bohr magnetons per cell
- Space-group type: Pmm2 (25)

=====

No. 18
A geometry-optimized LiFe2Tc2 structure. Source: Alexandria, functional PBE.

Cell and atoms, written as POSCAR:
```
LiFe2Tc2
1.0
7.3212 0.0000 0.0000
0.0000 7.3212 0.0000
0.0000 0.0000 2.5694
Li Fe Tc
2 4 4
Direct
0.0000 0.0000 0.0000
0.5000 0.5000 0.0000
0.1652 0.3348 0.5000
0.3348 0.8348 0.5000
0.6652 0.1652 0.5000
0.8348 0.6652 0.5000
0.1284 0.6284 0.0000
0.3716 0.1284 0.0000
0.6284 0.8716 0.0000
0.8716 0.3716 0.0000
```

- ΔE to the lowest computed polymorph: 38 meV/atom
- M_tot: 2.48 Bohr magnetons per cell
- Space-group type: P4/mbm (127)

=====

No. 19
A geometry-optimized LiFeTc2 structure. Source: Alexandria, functional PBE.

Cell and atoms, written as POSCAR:
```
LiFeTc2
1.0
1.4983 -2.0859 0.0000
1.4983 2.0859 0.0000
0.0000 0.0000 8.8695
Li Fe Tc
1 1 2
Direct
0.0000 0.0000 0.0000
0.0000 0.0000 0.5000
0.5000 0.5000 0.2638
0.5000 0.5000 0.7362
```

- ΔE to the lowest computed polymorph: 2 meV/atom
- M_tot: 2.46 Bohr magnetons per cell
- Space-group type: Cmmm (65)

=====

No. 20
A geometry-optimized LiFe2Tc structure. Source: Alexandria, functional PBE.

Cell and atoms, written as POSCAR:
```
LiFe2Tc
1.0
2.5476 -4.1222 0.0000
2.5476 4.1222 0.0000
-0.6889 0.0000 2.3847
Li Fe Tc
1 2 1
Direct
0.0000 0.0000 0.0000
0.0000 0.5000 0.5000
0.5000 0.0000 0.5000
0.5000 0.5000 0.0000
```

- M_tot: 4.67 Bohr magnetons per cell
- Space-group type: C2/m (12)

=====

Quick rundown of ΔH_f (0 K), same order as above: 15.05 5.95 30.11 5.42 5.04 6.78 4.84 5.73 6.90 11.15 4.60 5.64 25.08 4.66 4.93 5.46 6.20 5.47 4.71 5.39 kcal/mol of atoms